Entry 1:
A relaxed Ni2P crystal. Source: Alexandria, functional PBEsol.

SG: No. 189
Energy of formation, eV per atom: -0.55
Electronic total energy, eV per atom: -6.59

Cell lengths 5.797, 5.797, 3.320 Å; angles 90.00, 90.00, 120.00 degrees
Positions (direct):
Ni: 0.000 0.259 0.000
Ni: 0.000 0.600 0.500
Ni: 0.259 0.000 0.000
Ni: 0.400 0.400 0.500
Ni: 0.600 0.000 0.500
Ni: 0.741 0.741 0.000
P: 0.000 0.000 0.500
P: 0.333 0.667 0.000
P: 0.667 0.333 0.000

---

Entry 2:
A relaxed NiAg2Br crystal. Source: Alexandria, functional PBEsol.

Energy relative to the elements, uncorrected, eV/atom: 0.29
SG: No. 123
Electronic total energy, eV per atom: -3.37
Polymorph energy (0 for the lowest one), meV/atom: 59

Cell lengths 3.256, 3.256, 6.459 Å; angles 90.00, 90.00, 90.00 degrees
Positions (direct):
Ni: 0.000 0.000 0.000
Ag: 0.500 0.500 0.211
Ag: 0.500 0.500 0.789
Br: 0.000 0.000 0.500

---

Entry 3:
A relaxed LaSeBr2Cl crystal. Source: Alexandria, functional PBEsol.

Energy relative to the elements, uncorrected, eV/atom: -0.38
SG: No. 123
Electronic total energy, eV per atom: -3.37

Cell lengths 5.073, 5.073, 5.337 Å; angles 90.00, 90.00, 90.00 degrees
Positions (direct):
La: 0.000 0.000 0.000
Se: 0.500 0.500 0.000
Br: 0.000 0.500 0.500
Br: 0.500 0.000 0.500
Cl: 0.500 0.500 0.500

---

Entry 4:
A relaxed CaP2Se crystal. Source: Alexandria, functional PBEsol.

Energy relative to the elements, uncorrected, eV/atom: -0.26
SG: No. 123
Electronic total energy, eV per atom: -4.65

Cell lengths 3.797, 3.797, 5.402 Å; angles 90.00, 90.00, 90.00 degrees
Positions (direct):
Ca: 0.000 0.000 0.000
P: 0.500 0.500 0.294
P: 0.500 0.500 0.706
Se: 0.000 0.000 0.500

---

- What is the electronic total energy in the first record?
  -6.59 eV per atom